1.
Here is a geometry-optimized Pr6CdAu structure from the Alexandria database. Energies are from PBE.

Cell: 5.331 5.331 9.747 Å, 74.13 74.13 89.99°
Fractional positions:
Cd: 0.500 0.500 0.000
Pr: 0.607 0.107 0.785
Pr: 0.748 0.748 0.503
Pr: 0.252 0.252 0.497
Pr: 0.393 0.893 0.215
Pr: 0.893 0.393 0.215
Pr: 0.107 0.607 0.785
Au: 0.000 0.000 0.000

Values from the calculation:
Distance to the lowest polymorph of the same formula: 0 meV per atom
Space-group type: I4/mmm, No. 139

2.
Here is a geometry-optimized PrCdAu4 structure from the Alexandria database. Energies are from PBE.

Cell: 5.648 5.648 5.648 Å, 60.00 60.00 60.00°
Fractional positions:
Pr: 0.000 0.000 0.000
Au: 0.127 0.624 0.624
Au: 0.624 0.624 0.127
Au: 0.624 0.624 0.624
Au: 0.624 0.127 0.624
Cd: 0.250 0.250 0.250

Values from the calculation:
Distance to the lowest polymorph of the same formula: 19 meV per atom
Space-group type: F-43m, No. 216

3.
Here is a geometry-optimized PrCdAu2 structure from the Alexandria database. Energies are from PBE.

Cell: 3.661 3.661 6.902 Å, 90.00 90.00 90.00°
Fractional positions:
Au: 0.000 0.000 0.233
Au: 0.000 0.000 0.767
Cd: 0.500 0.500 0.000
Pr: 0.500 0.500 0.500

Values from the calculation:
Space-group type: P4/mmm, No. 123

4.
Here is a geometry-optimized Pr3Cd2Au3 structure from the Alexandria database. Energies are from PBE.

Cell: 3.750 5.258 10.880 Å, 103.98 99.92 90.00°
Fractional positions:
Cd: 0.735 0.235 0.470
Cd: 0.265 0.765 0.530
Au: 0.000 0.500 0.000
Au: 0.878 0.878 0.757
Au: 0.122 0.122 0.243
Pr: 0.370 0.370 0.740
Pr: 0.630 0.630 0.260
Pr: 0.500 0.000 0.000

Values from the calculation:
Distance to the lowest polymorph of the same formula: 53 meV per atom
Space-group type: Immm, No. 71

5.
Here is a geometry-optimized Pr6CdAu5 structure from the Alexandria database. Energies are from PBE.

Cell: 5.317 7.496 8.469 Å, 90.00 108.42 90.00°
Fractional positions:
Pr: 0.171 0.749 0.341
Pr: 0.829 0.251 0.659
Pr: 0.171 0.251 0.341
Pr: 0.829 0.749 0.659
Pr: 0.500 0.261 0.000
Pr: 0.500 0.739 0.000
Au: 0.333 0.500 0.665
Au: 0.347 0.000 0.692
Au: 0.000 0.500 0.000
Au: 0.667 0.500 0.335
Au: 0.653 0.000 0.308
Cd: 0.000 0.000 0.000

Values from the calculation:
Space-group type: P2/m, No. 10

6.
Here is a geometry-optimized Pr2Cd3Au structure from the Alexandria database. Energies are from PBE.

Cell: 3.536 5.005 8.675 Å, 90.00 90.00 90.00°
Fractional positions:
Pr: 0.000 0.500 0.017
Pr: 0.000 0.000 0.485
Au: 0.500 0.500 0.335
Cd: 0.500 0.500 0.668
Cd: 0.500 0.000 0.165
Cd: 0.500 0.000 0.830

Values from the calculation:
Space-group type: Pmm2, No. 25

7.
Here is a geometry-optimized Pr3Cd9Au2 structure from the Alexandria database. Energies are from PBE.

Cell: 4.888 8.811 8.811 Å, 73.67 73.90 73.90°
Fractional positions:
Au: 0.500 0.334 0.666
Au: 0.500 0.666 0.334
Cd: 0.000 0.500 0.500
Cd: 0.137 0.140 0.585
Cd: 0.863 0.860 0.415
Cd: 0.137 0.585 0.140
Cd: 0.351 0.281 0.016
Cd: 0.649 0.719 0.984
Cd: 0.863 0.415 0.860
Cd: 0.351 0.016 0.281
Cd: 0.649 0.984 0.719
Pr: 0.299 0.701 0.701
Pr: 0.000 0.000 0.000
Pr: 0.701 0.299 0.299

Values from the calculation:
Space-group type: Immm, No. 71

8.
Here is a geometry-optimized Pr4CdAu structure from the Alexandria database. Energies are from PBE.

Cell: 10.205 10.205 10.205 Å, 60.00 60.00 60.00°
Fractional positions:
Au: 0.606 0.606 0.182
Au: 0.606 0.606 0.606
Au: 0.182 0.606 0.606
Au: 0.606 0.182 0.606
Cd: 0.170 0.170 0.170
Cd: 0.170 0.491 0.170
Cd: 0.170 0.170 0.491
Cd: 0.491 0.170 0.170
Pr: 0.184 0.816 0.184
Pr: 0.395 0.395 0.395
Pr: 0.184 0.816 0.816
Pr: 0.816 0.184 0.816
Pr: 0.816 0.184 0.184
Pr: 0.946 0.554 0.554
Pr: 0.816 0.816 0.184
Pr: 0.395 0.395 0.814
Pr: 0.554 0.946 0.554
Pr: 0.554 0.554 0.946
Pr: 0.395 0.814 0.395
Pr: 0.946 0.946 0.554
Pr: 0.814 0.395 0.395
Pr: 0.554 0.946 0.946
Pr: 0.946 0.554 0.946
Pr: 0.184 0.184 0.816

Values from the calculation:
Distance to the lowest polymorph of the same formula: 0 meV per atom
Space-group type: F-43m, No. 216

9.
Here is a geometry-optimized PrCdAu structure from the Alexandria database. Energies are from PBE.

Cell: 3.845 3.845 5.733 Å, 109.59 109.59 90.00°
Fractional positions:
Pr: 0.955 0.955 0.909
Cd: 0.269 0.269 0.539
Au: 0.626 0.626 0.252

Values from the calculation:
Space-group type: I4mm, No. 107

10.
Here is a geometry-optimized PrCdAu structure from the Alexandria database. Energies are from PBE.

Cell: 4.025 7.975 14.141 Å, 90.00 90.00 90.00°
Fractional positions:
Pr: 0.000 0.762 0.451
Pr: 0.000 0.839 0.750
Pr: 0.000 0.161 0.250
Pr: 0.000 0.238 0.549
Pr: 0.000 0.238 0.951
Pr: 0.000 0.762 0.049
Cd: 0.500 0.189 0.750
Cd: 0.500 0.434 0.113
Cd: 0.500 0.566 0.887
Cd: 0.500 0.434 0.387
Cd: 0.500 0.566 0.613
Cd: 0.500 0.811 0.250
Au: 0.000 0.446 0.750
Au: 0.500 0.939 0.905
Au: 0.500 0.939 0.595
Au: 0.500 0.061 0.405
Au: 0.500 0.061 0.095
Au: 0.000 0.554 0.250

Values from the calculation:
Space-group type: Pmma, No. 51

no.,energy relative to the elements (eV/f.u.),ρ (kg/m3)
1,-1.91,7507
2,-2.72,13569
3,-2.09,11616
4,-4.49,10037
5,-8.06,10075
6,-2.74,8826
7,-4.57,8887
8,-2.17,7716
9,-1.46,10018
10,-1.84,9884